# 1
A geometry-optimized Y3B4PbO12 structure. Source: Alexandria, functional PBE.

Values from the calculation:
For the total magnetic moment, the calculation gives 0.00 μB/cell. The density is 4.5 Mg/m³. The energy is -8.181 eV per atom. As for the density of states at the Fermi level: 0.248 states/eV per atom.

Geometry as POSCAR:
```
Y3B4PbO12
1.0
-3.175 0.917 -5.696
-3.349 -4.976 2.717
-1.966 5.166 3.579
O Y B Pb
12 3 4 1
direct
0.969 0.178 0.372
0.098 0.902 0.500
0.635 0.500 0.365
0.902 0.500 0.098
0.822 0.031 0.628
0.031 0.628 0.822
0.500 0.365 0.635
0.628 0.822 0.031
0.178 0.372 0.969
0.500 0.098 0.902
0.365 0.635 0.500
0.372 0.969 0.178
0.538 0.462 0.000
0.462 0.000 0.538
0.000 0.538 0.462
0.500 0.964 0.036
0.500 0.500 0.500
0.964 0.036 0.500
0.036 0.500 0.964
0.000 0.000 0.000
```



# 2
A geometry-optimized Zn2B2PbO6 structure. Source: Alexandria, functional PBE.

Values from the calculation:
The energy above the most stable polymorph in this dataset comes out at 0.000 eV per atom. For the total magnetic moment, the calculation gives 0.00 μB/cell. The density is 4.8 Mg/m³. As for the density of states at the Fermi level: 0.000 states/eV per atom.

Geometry as POSCAR:
```
Zn2B2PbO6
1.0
-1.585 1.125 4.645
6.935 -7.150 4.098
8.033 8.221 0.749
O Zn B Pb
24 8 8 4
direct
0.575 0.591 0.876
0.925 0.091 0.876
0.323 0.187 0.946
0.160 0.478 0.877
0.823 0.313 0.054
0.677 0.313 0.446
0.660 0.022 0.123
0.075 0.909 0.124
0.340 0.478 0.623
0.677 0.813 0.054
0.925 0.591 0.624
0.075 0.409 0.376
0.323 0.687 0.554
0.340 0.978 0.877
0.177 0.187 0.554
0.660 0.522 0.377
0.823 0.813 0.446
0.425 0.909 0.376
0.425 0.409 0.124
0.840 0.522 0.123
0.575 0.091 0.624
0.177 0.687 0.946
0.160 0.978 0.623
0.840 0.022 0.377
0.685 0.151 0.002
0.815 0.651 0.002
0.315 0.849 0.998
0.815 0.151 0.498
0.185 0.849 0.502
0.685 0.651 0.498
0.185 0.349 0.998
0.315 0.349 0.502
0.804 0.415 0.398
0.696 0.415 0.102
0.696 0.915 0.398
0.196 0.085 0.898
0.304 0.585 0.898
0.196 0.585 0.602
0.304 0.085 0.602
0.804 0.915 0.102
0.750 0.944 0.750
0.750 0.444 0.750
0.250 0.056 0.250
0.250 0.556 0.250
```



# 3
A geometry-optimized ZnBPbO4 structure. Source: Alexandria, functional PBE.

Values from the calculation:
For the total magnetic moment, the calculation gives 0.00 μB/cell. The density is 7.1 Mg/m³. The energy is -5.666 eV per atom. As for the density of states at the Fermi level: 0.196 states/eV per atom.

Geometry as POSCAR:
```
ZnBPbO4
1.0
6.064 0.000 0.000
3.032 5.179 -0.477
3.032 1.124 5.078
B Pb Zn O
2 2 2 8
direct
0.380 0.370 0.870
0.620 0.630 0.130
0.000 0.000 0.000
0.000 0.500 0.500
0.000 0.000 0.500
0.500 0.000 0.500
0.294 0.274 0.139
0.706 0.361 0.226
0.706 0.726 0.861
0.295 0.239 0.739
0.727 0.239 0.739
0.294 0.639 0.774
0.705 0.761 0.261
0.273 0.761 0.261
```



# 4
A geometry-optimized ZnB2Pb2O6 structure. Source: Alexandria, functional PBE.

Values from the calculation:
For the total magnetic moment, the calculation gives 0.00 μB/cell. The density is 7.0 Mg/m³. The energy is -6.468 eV per atom. As for the density of states at the Fermi level: 0.000 states/eV per atom.

Geometry as POSCAR:
```
ZnB2Pb2O6
1.0
5.212 0.000 0.000
-2.606 4.789 -0.053
0.000 -2.815 5.677
O Zn Pb B
6 1 2 2
direct
0.726 0.909 0.244
0.801 0.603 0.647
0.274 0.091 0.756
0.183 0.909 0.244
0.199 0.397 0.353
0.817 0.091 0.756
0.500 0.000 0.500
0.294 0.588 0.800
0.706 0.412 0.200
0.961 0.921 0.719
0.039 0.079 0.281
```



# 5
A geometry-optimized Zn2B2PbO6 structure. Source: Alexandria, functional PBE.

Values from the calculation:
The energy above the most stable polymorph in this dataset comes out at 0.039 eV per atom. For the total magnetic moment, the calculation gives 0.00 μB/cell. The density is 5.3 Mg/m³. As for the density of states at the Fermi level: 0.000 states/eV per atom.

Geometry as POSCAR:
```
Zn2B2PbO6
1.0
5.211 -0.044 -0.230
2.572 4.417 0.119
-0.180 -2.160 6.098
Zn B O Pb
2 2 6 1
direct
0.204 0.547 0.149
0.796 0.453 0.851
0.840 0.242 0.227
0.160 0.758 0.773
0.093 0.992 0.261
0.435 0.730 0.753
0.852 0.490 0.179
0.907 0.008 0.739
0.148 0.510 0.821
0.565 0.270 0.247
0.500 0.000 0.500
```



# 6
A geometry-optimized Zn2BPbO4 structure. Source: Alexandria, functional PBE.

Values from the calculation:
For the total magnetic moment, the calculation gives 0.00 μB/cell. The density is 7.1 Mg/m³. The energy is -5.428 eV per atom. As for the density of states at the Fermi level: 0.219 states/eV per atom.

Geometry as POSCAR:
```
Zn2BPbO4
1.0
-3.232 0.798 -3.984
0.187 -5.053 -1.178
-1.258 1.530 4.722
B Zn O Pb
1 2 4 1
direct
0.500 0.500 0.000
0.750 0.250 0.500
0.250 0.750 0.500
0.540 0.540 0.749
0.460 0.791 0.252
0.208 0.208 0.748
0.791 0.460 0.252
0.000 0.000 0.000
```



# 7
A geometry-optimized BPd2O structure. Source: Alexandria, functional PBE.

Values from the calculation:
The energy above the most stable polymorph in this dataset comes out at 0.282 eV per atom. For the total magnetic moment, the calculation gives 0.00 μB/cell. The density is 9.2 Mg/m³. As for the density of states at the Fermi level: 1.766 states/eV per atom.

Geometry as POSCAR:
```
BPd2O
1.0
-1.118 -1.624 3.415
-2.368 1.988 2.447
-3.736 -1.158 0.503
Pd B O
2 1 1
direct
0.250 0.250 0.250
0.750 0.750 0.750
0.000 0.000 0.000
0.500 0.500 0.500
```



# 8
A geometry-optimized BPd3O structure. Source: Alexandria, functional PBE.

Values from the calculation:
The energy above the most stable polymorph in this dataset comes out at 0.000 eV per atom. For the total magnetic moment, the calculation gives 0.00 μB/cell. The density is 8.2 Mg/m³. As for the density of states at the Fermi level: 1.200 states/eV per atom.

Geometry as POSCAR:
```
BPd3O
1.0
4.123 0.000 0.000
0.000 4.123 0.000
0.000 0.000 4.123
Pd B O
3 1 1
direct
0.000 0.000 0.500
0.500 0.000 0.000
0.000 0.500 0.000
0.000 0.000 0.000
0.500 0.500 0.500
```